Material: BeCuAgGe
Method: DFT, PBE
State: optimized geometry

## Properties
crystal system	cubic

Cell lengths 6.1192, 6.1192, 6.1192 Å; angles 90.00, 90.00, 90.00 degrees
Closest atoms and distances in Å follow each position.
Element x y z (fractional)
Be 0.0000 0.0000 0.0000  4 Cu 2.65, 4 Ag 2.65
Be 0.0000 0.5000 0.5000  4 Cu 2.65, 4 Ag 2.65
Be 0.5000 0.0000 0.5000  4 Cu 2.65, 4 Ag 2.65
Be 0.5000 0.5000 0.0000  4 Cu 2.65, 4 Ag 2.65
Cu 0.2500 0.2500 0.7500  4 Ge 2.65, 4 Be 2.65
Cu 0.2500 0.7500 0.2500  4 Ge 2.65, 4 Be 2.65
Cu 0.7500 0.2500 0.2500  4 Ge 2.65, 4 Be 2.65
Cu 0.7500 0.7500 0.7500  4 Ge 2.65, 4 Be 2.65
Ag 0.2500 0.2500 0.2500  4 Be 2.65, 4 Ge 2.65
Ag 0.2500 0.7500 0.7500  4 Be 2.65, 4 Ge 2.65
Ag 0.7500 0.2500 0.7500  4 Be 2.65, 4 Ge 2.65
Ag 0.7500 0.7500 0.2500  4 Be 2.65, 4 Ge 2.65
Ge 0.0000 0.0000 0.5000  4 Ag 2.65, 4 Cu 2.65
Ge 0.0000 0.5000 0.0000  4 Ag 2.65, 4 Cu 2.65
Ge 0.5000 0.0000 0.0000  4 Ag 2.65, 4 Cu 2.65
Ge 0.5000 0.5000 0.5000  4 Ag 2.65, 4 Cu 2.65



Material: BeCuAgSb
Method: DFT, PBE
State: optimized geometry

## Properties
crystal system	cubic

Cell lengths 6.4715, 6.4715, 6.4715 Å; angles 90.00, 90.00, 90.00 degrees
Closest atoms and distances in Å follow each position.
Element x y z (fractional)
Be 0.0000 0.0000 0.0000  4 Cu 2.80, 4 Ag 2.80
Be 0.0000 0.5000 0.5000  4 Cu 2.80, 4 Ag 2.80
Be 0.5000 0.0000 0.5000  4 Cu 2.80, 4 Ag 2.80
Be 0.5000 0.5000 0.0000  4 Cu 2.80, 4 Ag 2.80
Cu 0.2500 0.2500 0.7500  4 Sb 2.80, 4 Be 2.80
Cu 0.2500 0.7500 0.2500  4 Sb 2.80, 4 Be 2.80
Cu 0.7500 0.2500 0.2500  4 Sb 2.80, 4 Be 2.80
Cu 0.7500 0.7500 0.7500  4 Be 2.80, 4 Sb 2.80
Ag 0.2500 0.2500 0.2500  4 Sb 2.80, 4 Be 2.80
Ag 0.2500 0.7500 0.7500  4 Sb 2.80, 4 Be 2.80
Ag 0.7500 0.2500 0.7500  4 Sb 2.80, 4 Be 2.80
Ag 0.7500 0.7500 0.2500  4 Sb 2.80, 4 Be 2.80
Sb 0.0000 0.0000 0.5000  4 Cu 2.80, 4 Ag 2.80
Sb 0.0000 0.5000 0.0000  4 Cu 2.80, 4 Ag 2.80
Sb 0.5000 0.0000 0.0000  4 Cu 2.80, 4 Ag 2.80
Sb 0.5000 0.5000 0.5000  4 Cu 2.80, 4 Ag 2.80



Material: BeCuAgSb
Method: DFT, PBE
State: optimized geometry

## Properties
crystal system	cubic

Cell lengths 6.4104, 6.4104, 6.4104 Å; angles 90.00, 90.00, 90.00 degrees
Closest atoms and distances in Å follow each position.
Element x y z (fractional)
Be 0.0000 0.0000 0.0000  4 Ag 2.78, 4 Sb 2.78
Be 0.0000 0.5000 0.5000  4 Ag 2.78, 4 Sb 2.78
Be 0.5000 0.0000 0.5000  4 Ag 2.78, 4 Sb 2.78
Be 0.5000 0.5000 0.0000  4 Ag 2.78, 4 Sb 2.78
Cu 0.0000 0.0000 0.5000  4 Sb 2.78, 4 Ag 2.78
Cu 0.0000 0.5000 0.0000  4 Sb 2.78, 4 Ag 2.78
Cu 0.5000 0.0000 0.0000  4 Sb 2.78, 4 Ag 2.78
Cu 0.5000 0.5000 0.5000  4 Sb 2.78, 4 Ag 2.78
Ag 0.2500 0.2500 0.7500  4 Be 2.78, 4 Cu 2.78
Ag 0.2500 0.7500 0.2500  4 Cu 2.78, 4 Be 2.78
Ag 0.7500 0.2500 0.2500  4 Cu 2.78, 4 Be 2.78
Ag 0.7500 0.7500 0.7500  4 Cu 2.78, 4 Be 2.78
Sb 0.2500 0.2500 0.2500  4 Be 2.78, 4 Cu 2.78
Sb 0.2500 0.7500 0.7500  4 Be 2.78, 4 Cu 2.78
Sb 0.7500 0.2500 0.7500  4 Be 2.78, 4 Cu 2.78
Sb 0.7500 0.7500 0.2500  4 Be 2.78, 4 Cu 2.78



Material: BeCuAgSn
Method: DFT, PBE
State: optimized geometry

## Properties
crystal system	cubic

Cell lengths 6.3805, 6.3805, 6.3805 Å; angles 90.00, 90.00, 90.00 degrees
Closest atoms and distances in Å follow each position.
Element x y z (fractional)
Be 0.0000 0.0000 0.0000  4 Ag 2.76, 4 Cu 2.76
Be 0.0000 0.5000 0.5000  4 Ag 2.76, 4 Cu 2.76
Be 0.5000 0.0000 0.5000  4 Ag 2.76, 4 Cu 2.76
Be 0.5000 0.5000 0.0000  4 Ag 2.76, 4 Cu 2.76
Cu 0.2500 0.2500 0.7500  4 Be 2.76, 4 Sn 2.76
Cu 0.2500 0.7500 0.2500  4 Be 2.76, 4 Sn 2.76
Cu 0.7500 0.2500 0.2500  4 Be 2.76, 4 Sn 2.76
Cu 0.7500 0.7500 0.7500  4 Be 2.76, 4 Sn 2.76
Ag 0.2500 0.2500 0.2500  4 Sn 2.76, 4 Be 2.76
Ag 0.2500 0.7500 0.7500  4 Sn 2.76, 4 Be 2.76
Ag 0.7500 0.2500 0.7500  4 Sn 2.76, 4 Be 2.76
Ag 0.7500 0.7500 0.2500  4 Sn 2.76, 4 Be 2.76
Sn 0.0000 0.0000 0.5000  4 Cu 2.76, 4 Ag 2.76
Sn 0.0000 0.5000 0.0000  4 Cu 2.76, 4 Ag 2.76
Sn 0.5000 0.0000 0.0000  4 Cu 2.76, 4 Ag 2.76
Sn 0.5000 0.5000 0.5000  4 Cu 2.76, 4 Ag 2.76



Material: BeCuAgSn
Method: DFT, PBE
State: optimized geometry

## Properties
crystal system	cubic

Cell lengths 6.3200, 6.3200, 6.3200 Å; angles 90.00, 90.00, 90.00 degrees
Closest atoms and distances in Å follow each position.
Element x y z (fractional)
Be 0.0000 0.0000 0.0000  4 Sn 2.74, 4 Ag 2.74
Be 0.0000 0.5000 0.5000  4 Sn 2.74, 4 Ag 2.74
Be 0.5000 0.0000 0.5000  4 Sn 2.74, 4 Ag 2.74
Be 0.5000 0.5000 0.0000  4 Sn 2.74, 4 Ag 2.74
Cu 0.0000 0.0000 0.5000  4 Ag 2.74, 4 Sn 2.74
Cu 0.0000 0.5000 0.0000  4 Ag 2.74, 4 Sn 2.74
Cu 0.5000 0.0000 0.0000  4 Ag 2.74, 4 Sn 2.74
Cu 0.5000 0.5000 0.5000  4 Ag 2.74, 4 Sn 2.74
Ag 0.2500 0.2500 0.7500  4 Be 2.74, 4 Cu 2.74
Ag 0.2500 0.7500 0.2500  4 Be 2.74, 4 Cu 2.74
Ag 0.7500 0.2500 0.2500  4 Be 2.74, 4 Cu 2.74
Ag 0.7500 0.7500 0.7500  4 Be 2.74, 4 Cu 2.74
Sn 0.2500 0.2500 0.2500  4 Cu 2.74, 4 Be 2.74
Sn 0.2500 0.7500 0.7500  4 Cu 2.74, 4 Be 2.74
Sn 0.7500 0.2500 0.7500  4 Cu 2.74, 4 Be 2.74
Sn 0.7500 0.7500 0.2500  4 Cu 2.74, 4 Be 2.74



Material: BeTlCuAg
Method: DFT, PBE
State: optimized geometry

## Properties
crystal system	cubic

Cell lengths 6.3924, 6.3924, 6.3924 Å; angles 90.00, 90.00, 90.00 degrees
Closest atoms and distances in Å follow each position.
Element x y z (fractional)
Be 0.0000 0.0000 0.0000  4 Cu 2.77, 4 Ag 2.77
Be 0.0000 0.5000 0.5000  4 Cu 2.77, 4 Ag 2.77
Be 0.5000 0.0000 0.5000  4 Cu 2.77, 4 Ag 2.77
Be 0.5000 0.5000 0.0000  4 Cu 2.77, 4 Ag 2.77
Tl 0.0000 0.0000 0.5000  4 Cu 2.77, 4 Ag 2.77
Tl 0.0000 0.5000 0.0000  4 Cu 2.77, 4 Ag 2.77
Tl 0.5000 0.0000 0.0000  4 Cu 2.77, 4 Ag 2.77
Tl 0.5000 0.5000 0.5000  4 Cu 2.77, 4 Ag 2.77
Cu 0.2500 0.2500 0.7500  4 Tl 2.77, 4 Be 2.77
Cu 0.2500 0.7500 0.2500  4 Tl 2.77, 4 Be 2.77
Cu 0.7500 0.2500 0.2500  4 Tl 2.77, 4 Be 2.77
Cu 0.7500 0.7500 0.7500  4 Tl 2.77, 4 Be 2.77
Ag 0.2500 0.2500 0.2500  4 Tl 2.77, 4 Be 2.77
Ag 0.2500 0.7500 0.7500  4 Tl 2.77, 4 Be 2.77
Ag 0.7500 0.2500 0.7500  4 Tl 2.77, 4 Be 2.77
Ag 0.7500 0.7500 0.2500  4 Tl 2.77, 4 Be 2.77



Material: BeTlCuAg
Method: DFT, PBE
State: optimized geometry

## Properties
crystal system	cubic

Cell lengths 6.3056, 6.3056, 6.3056 Å; angles 90.00, 90.00, 90.00 degrees
Closest atoms and distances in Å follow each position.
Element x y z (fractional)
Be 0.0000 0.0000 0.0000  4 Ag 2.73, 4 Tl 2.73
Be 0.0000 0.5000 0.5000  4 Tl 2.73, 4 Ag 2.73
Be 0.5000 0.0000 0.5000  4 Tl 2.73, 4 Ag 2.73
Be 0.5000 0.5000 0.0000  4 Ag 2.73, 4 Tl 2.73
Tl 0.2500 0.2500 0.2500  4 Be 2.73, 4 Cu 2.73
Tl 0.2500 0.7500 0.7500  4 Be 2.73, 4 Cu 2.73
Tl 0.7500 0.2500 0.7500  4 Be 2.73, 4 Cu 2.73
Tl 0.7500 0.7500 0.2500  4 Be 2.73, 4 Cu 2.73
Cu 0.0000 0.0000 0.5000  4 Tl 2.73, 4 Ag 2.73
Cu 0.0000 0.5000 0.0000  4 Tl 2.73, 4 Ag 2.73
Cu 0.5000 0.0000 0.0000  4 Tl 2.73, 4 Ag 2.73
Cu 0.5000 0.5000 0.5000  4 Tl 2.73, 4 Ag 2.73
Ag 0.2500 0.2500 0.7500  4 Be 2.73, 4 Cu 2.73
Ag 0.2500 0.7500 0.2500  4 Be 2.73, 4 Cu 2.73
Ag 0.7500 0.2500 0.2500  4 Be 2.73, 4 Cu 2.73
Ag 0.7500 0.7500 0.7500  4 Be 2.73, 4 Cu 2.73



Material: ErBeAg
Method: DFT, PBE
State: optimized geometry

## Properties
crystal system	cubic

Cell lengths 6.5076, 6.5076, 6.5076 Å; angles 90.00, 90.00, 90.00 degrees
Closest atoms and distances in Å follow each position.
Element x y z (fractional)
Er 0.0000 0.0000 0.0000  4 Be 2.82, 4 Ag 2.82
Er 0.0000 0.5000 0.5000  4 Be 2.82, 4 Ag 2.82
Er 0.5000 0.0000 0.5000  4 Be 2.82, 4 Ag 2.82
Er 0.5000 0.5000 0.0000  4 Be 2.82, 4 Ag 2.82
Be 0.2500 0.2500 0.2500  4 Er 2.82
Be 0.2500 0.7500 0.7500  4 Er 2.82
Be 0.7500 0.2500 0.7500  4 Er 2.82
Be 0.7500 0.7500 0.2500  4 Er 2.82
Ag 0.2500 0.2500 0.7500  4 Er 2.82
Ag 0.2500 0.7500 0.2500  4 Er 2.82
Ag 0.7500 0.2500 0.2500  4 Er 2.82
Ag 0.7500 0.7500 0.7500  4 Er 2.82



Material: BeAgF3
Method: DFT, PBE
State: optimized geometry

## Properties
crystal system	monoclinic

Cell lengths 7.0574, 7.0574, 4.7284 Å; angles 92.71, 92.71, 90.40 degrees
Closest atoms and distances in Å follow each position.
Element x y z (fractional)
Be 0.1244 0.2895 0.2690  4 F 1.50-1.59
Be 0.2895 0.1244 0.7690  4 F 1.50-1.59
Be 0.7105 0.8756 0.2310  4 F 1.50-1.59
Be 0.8756 0.7105 0.7310  4 F 1.50-1.59
Ag 0.2061 0.7939 0.2500  6 F 2.42-2.51
Ag 0.3966 0.6034 0.7500  6 F 2.35-2.56
Ag 0.6034 0.3966 0.2500  6 F 2.35-2.56
Ag 0.7939 0.2061 0.7500  6 F 2.42-2.51
F 0.0709 0.6438 0.8162  1 Be 1.50
F 0.1207 0.1912 0.5626  2 Be 1.58-1.59
F 0.1912 0.1207 0.0626  2 Be 1.58-1.59
F 0.2704 0.4490 0.2781  1 Be 1.52
F 0.3562 0.9291 0.6838  1 Be 1.50
F 0.4490 0.2704 0.7781  1 Be 1.52
F 0.5510 0.7296 0.2219  1 Be 1.52
F 0.6438 0.0709 0.3162  1 Be 1.50
F 0.7296 0.5510 0.7219  1 Be 1.52
F 0.8088 0.8793 0.9374  2 Be 1.58-1.59
F 0.8793 0.8088 0.4374  2 Be 1.58-1.59
F 0.9291 0.3562 0.1838  1 Be 1.50



Material: BeGaFeAg
Method: DFT, PBE
State: optimized geometry

## Properties
crystal system	cubic

Cell lengths 5.9962, 5.9962, 5.9962 Å; angles 90.00, 90.00, 90.00 degrees
Closest atoms and distances in Å follow each position.
Element x y z (fractional)
Be 0.0000 0.0000 0.0000  4 Ga 2.60, 4 Ag 2.60
Be 0.0000 0.5000 0.5000  4 Ga 2.60, 4 Ag 2.60
Be 0.5000 0.0000 0.5000  4 Ga 2.60, 4 Ag 2.60
Be 0.5000 0.5000 0.0000  4 Ga 2.60, 4 Ag 2.60
Ga 0.2500 0.2500 0.2500  4 Fe 2.60, 4 Be 2.60
Ga 0.2500 0.7500 0.7500  4 Fe 2.60, 4 Be 2.60
Ga 0.7500 0.2500 0.7500  4 Fe 2.60, 4 Be 2.60
Ga 0.7500 0.7500 0.2500  4 Fe 2.60, 4 Be 2.60
Fe 0.0000 0.0000 0.5000  4 Ga 2.60, 4 Ag 2.60
Fe 0.0000 0.5000 0.0000  4 Ga 2.60, 4 Ag 2.60
Fe 0.5000 0.0000 0.0000  4 Ga 2.60, 4 Ag 2.60
Fe 0.5000 0.5000 0.5000  4 Ga 2.60, 4 Ag 2.60
Ag 0.2500 0.2500 0.7500  4 Be 2.60, 4 Fe 2.60
Ag 0.2500 0.7500 0.2500  4 Fe 2.60, 4 Be 2.60
Ag 0.7500 0.2500 0.2500  4 Fe 2.60, 4 Be 2.60
Ag 0.7500 0.7500 0.7500  4 Be 2.60, 4 Fe 2.60



Material: BeGaFeAg
Method: DFT, PBE
State: optimized geometry

## Properties
crystal system	cubic

Cell lengths 5.9307, 5.9307, 5.9307 Å; angles 90.00, 90.00, 90.00 degrees
Closest atoms and distances in Å follow each position.
Element x y z (fractional)
Be 0.0000 0.0000 0.0000  4 Fe 2.57, 4 Ag 2.57
Be 0.0000 0.5000 0.5000  4 Fe 2.57, 4 Ag 2.57
Be 0.5000 0.0000 0.5000  4 Fe 2.57, 4 Ag 2.57
Be 0.5000 0.5000 0.0000  4 Fe 2.57, 4 Ag 2.57
Ga 0.0000 0.0000 0.5000  4 Fe 2.57, 4 Ag 2.57
Ga 0.0000 0.5000 0.0000  4 Fe 2.57, 4 Ag 2.57
Ga 0.5000 0.0000 0.0000  4 Fe 2.57, 4 Ag 2.57
Ga 0.5000 0.5000 0.5000  4 Fe 2.57, 4 Ag 2.57
Fe 0.2500 0.2500 0.7500  4 Be 2.57, 4 Ga 2.57
Fe 0.2500 0.7500 0.2500  4 Be 2.57, 4 Ga 2.57
Fe 0.7500 0.2500 0.2500  4 Be 2.57, 4 Ga 2.57
Fe 0.7500 0.7500 0.7500  4 Be 2.57, 4 Ga 2.57
Ag 0.2500 0.2500 0.2500  4 Be 2.57, 4 Ga 2.57
Ag 0.2500 0.7500 0.7500  4 Be 2.57, 4 Ga 2.57
Ag 0.7500 0.2500 0.7500  4 Be 2.57, 4 Ga 2.57
Ag 0.7500 0.7500 0.2500  4 Be 2.57, 4 Ga 2.57



Material: BeFeAgGe
Method: DFT, PBE
State: optimized geometry

## Properties
crystal system	cubic

Cell lengths 5.9633, 5.9633, 5.9633 Å; angles 90.00, 90.00, 90.00 degrees
Closest atoms and distances in Å follow each position.
Element x y z (fractional)
Be 0.0000 0.0000 0.0000  4 Fe 2.58, 4 Ag 2.58
Be 0.0000 0.5000 0.5000  4 Fe 2.58, 4 Ag 2.58
Be 0.5000 0.0000 0.5000  4 Fe 2.58, 4 Ag 2.58
Be 0.5000 0.5000 0.0000  4 Fe 2.58, 4 Ag 2.58
Fe 0.2500 0.2500 0.7500  4 Ge 2.58, 4 Be 2.58
Fe 0.2500 0.7500 0.2500  4 Ge 2.58, 4 Be 2.58
Fe 0.7500 0.2500 0.2500  4 Ge 2.58, 4 Be 2.58
Fe 0.7500 0.7500 0.7500  4 Ge 2.58, 4 Be 2.58
Ag 0.2500 0.2500 0.2500  4 Ge 2.58, 4 Be 2.58
Ag 0.2500 0.7500 0.7500  4 Ge 2.58, 4 Be 2.58
Ag 0.7500 0.2500 0.7500  4 Ge 2.58, 4 Be 2.58
Ag 0.7500 0.7500 0.2500  4 Ge 2.58, 4 Be 2.58
Ge 0.0000 0.0000 0.5000  4 Fe 2.58, 4 Ag 2.58
Ge 0.0000 0.5000 0.0000  4 Fe 2.58, 4 Ag 2.58
Ge 0.5000 0.0000 0.0000  4 Fe 2.58, 4 Ag 2.58
Ge 0.5000 0.5000 0.5000  4 Fe 2.58, 4 Ag 2.58



E? In order: -3.40; -3.12; -3.21; -3.20; -3.26; -2.70; -2.77; -3.05; -4.76; -4.21; -4.31; -4.59 eV/atom.
Density? In order: 7336; 7406; 7619; 7649; 7871; 9785; 10195; 6848; 4915; 7470; 7720; 7686 kg/m3.